Record 1
# GGA-PBE AcErAsO2, optimized geometry
data_AcErAsO2
_chemical_formula_sum 'Ac4 Er4 As4 O8'
_cell_length_a 4.112
_cell_length_b 12.733
_cell_length_c 7.515
_cell_angle_alpha 90.00
_cell_angle_beta 90.00
_cell_angle_gamma 90.00
_symmetry_space_group_name_H-M 'C m c m'
_symmetry_Int_Tables_number 63
_symmetry_space_group_name_Hall '-C 2c 2'
loop_
_atom_site_label
_atom_site_fract_x
_atom_site_fract_y
_atom_site_fract_z
Ac1 0.000 0.228 0.250
Er1 0.000 0.500 0.000
As1 0.000 0.047 0.750
O1 0.000 0.333 0.555
# crystal system	orthorhombic
# V	19.67	Å³ per atom
# ΔE_f (raw)	-2457	meV/atom

---

Record 2
# GGA-PBE Er3In5Te12, optimized geometry
data_Er3In5Te12
_chemical_formula_sum 'Er24 In40 Te96'
_cell_length_a 17.733
_cell_length_b 17.733
_cell_length_c 17.733
_cell_angle_alpha 90.00
_cell_angle_beta 90.00
_cell_angle_gamma 90.00
_symmetry_space_group_name_H-M 'I a -3 d'
_symmetry_Int_Tables_number 230
_symmetry_space_group_name_Hall '-I 4bd 2c 3'
loop_
_atom_site_label
_atom_site_fract_x
_atom_site_fract_y
_atom_site_fract_z
Er1 0.000 0.250 0.125
In1 0.000 0.000 0.000
In2 0.000 0.250 0.375
Te1 0.020 0.067 0.653
# crystal system	cubic
# V	34.85	Å³ per atom
# ΔE_f (raw)	-590	meV/atom

---

Record 3
# GGA-PBE Rb2Ce2ErS6, optimized geometry
data_Rb2Ce2ErS6
_chemical_formula_sum 'Rb4 Ce4 Er2 S12'
_cell_length_a 7.123
_cell_length_b 12.295
_cell_length_c 8.163
_cell_angle_alpha 90.00
_cell_angle_beta 106.76
_cell_angle_gamma 90.00
_symmetry_space_group_name_H-M 'C 1 2/m 1'
_symmetry_Int_Tables_number 12
_symmetry_space_group_name_Hall '-C 2y'
loop_
_atom_site_label
_atom_site_fract_x
_atom_site_fract_y
_atom_site_fract_z
Rb1 0.000 0.167 0.000
Ce1 0.000 0.334 0.500
Er1 0.000 0.000 0.500
S1 0.225 0.165 0.686
S2 0.237 0.500 0.686
# crystal system	monoclinic
# V	31.12	Å³ per atom
# ΔE_f (raw)	-1839	meV/atom

---

Record 4
# GGA-PBE AcLaPr2S4, optimized geometry
data_AcLaPr2S4
_chemical_formula_sum 'Ac1 La1 Pr2 S4'
_cell_length_a 7.222
_cell_length_b 4.150
_cell_length_c 7.249
_cell_angle_alpha 90.00
_cell_angle_beta 109.33
_cell_angle_gamma 90.00
_symmetry_space_group_name_H-M 'P 1 2/m 1'
_symmetry_Int_Tables_number 10
_symmetry_space_group_name_Hall '-P 2y'
loop_
_atom_site_label
_atom_site_fract_x
_atom_site_fract_y
_atom_site_fract_z
Ac1 0.000 0.000 0.000
La1 0.000 0.500 0.500
Pr1 0.500 0.000 0.500
Pr2 0.500 0.500 0.000
S1 0.255 0.000 0.747
S2 0.259 0.500 0.257
# crystal system	monoclinic
# V	25.63	Å³ per atom
# ΔE_f (raw)	-2052	meV/atom

---

Record 5
# GGA-PBE Ce8AlGe6, optimized geometry
data_Ce8AlGe6
_chemical_formula_sum 'Ce24 Al3 Ge18'
_cell_length_a 8.8582
_cell_length_b 8.8582
_cell_length_c 18.1385
_cell_angle_alpha 90.00
_cell_angle_beta 90.00
_cell_angle_gamma 120.00
_symmetry_space_group_name_H-M 'R -3'
_symmetry_Int_Tables_number 148
_symmetry_space_group_name_Hall '-R 3'
loop_
_atom_site_label
_atom_site_fract_x
_atom_site_fract_y
_atom_site_fract_z
Ce1 0.0000 0.0000 0.1630
Ce2 0.0071 0.2991 0.5944
Al1 0.0000 0.0000 0.5000
Ge1 0.0075 0.3581 0.4283
# crystal system	trigonal
# V	27.39	Å³ per atom
# formation energy from the elements	-0.492	eV per atom

---

Record 6
# GGA-PBE NaSr2CdSb2, optimized geometry
data_NaSr2CdSb2
_chemical_formula_sum 'Na4 Sr8 Cd4 Sb8'
_cell_length_a 6.775
_cell_length_b 16.598
_cell_length_c 6.821
_cell_angle_alpha 90.00
_cell_angle_beta 90.00
_cell_angle_gamma 90.00
_symmetry_space_group_name_H-M 'I b a m'
_symmetry_Int_Tables_number 72
_symmetry_space_group_name_Hall '-I 2 2c'
loop_
_atom_site_label
_atom_site_fract_x
_atom_site_fract_y
_atom_site_fract_z
Na1 0.000 0.000 0.250
Sr1 0.236 0.331 0.000
Cd1 0.000 0.500 0.250
Sb1 0.243 0.127 0.000
# crystal system	orthorhombic
# V	31.96	Å³ per atom
# ΔE_f (raw)	-669	meV/atom

---

Record 7
# GGA-PBE B2SbAs2, optimized geometry
data_B2SbAs2
_chemical_formula_sum 'B4 Sb2 As4'
_cell_length_a 7.499
_cell_length_b 7.499
_cell_length_c 3.145
_cell_angle_alpha 90.00
_cell_angle_beta 90.00
_cell_angle_gamma 90.00
_symmetry_space_group_name_H-M 'P 4/m b m'
_symmetry_Int_Tables_number 127
_symmetry_space_group_name_Hall '-P 4 2ab'
loop_
_atom_site_label
_atom_site_fract_x
_atom_site_fract_y
_atom_site_fract_z
B1 0.078 0.422 0.000
Sb1 0.000 0.000 0.500
As1 0.146 0.646 0.500
# crystal system	tetragonal
# V	17.68	Å³ per atom
# ΔE_f (raw)	1074	meV/atom
# offset from the most stable computed form	2.252	eV/f.u.

---

Record 8
# GGA-PBE RbBaTa2O7, optimized geometry
data_RbBaTa2O7
_chemical_formula_sum 'Rb2 Ba2 Ta4 O14'
_cell_length_a 3.988
_cell_length_b 3.988
_cell_length_c 24.364
_cell_angle_alpha 90.00
_cell_angle_beta 90.00
_cell_angle_gamma 90.00
_symmetry_space_group_name_H-M 'I -4 m 2'
_symmetry_Int_Tables_number 119
_symmetry_space_group_name_Hall 'I -4 -2'
loop_
_atom_site_label
_atom_site_fract_x
_atom_site_fract_y
_atom_site_fract_z
Rb1 0.000 0.000 0.000
Ba1 0.000 0.500 0.750
Ta1 0.000 0.500 0.151
O1 0.000 0.000 0.165
O2 0.000 0.000 0.334
O3 0.000 0.500 0.077
O4 0.000 0.500 0.250
# crystal system	tetragonal
# V	17.62	Å³ per atom
# ΔE_f (raw)	-2588	meV/atom